Entry from the Alexandria database: a relaxed structure of GaBiS3 (PBE-GGA).

## Properties
SG: Ama2
energy above the most stable polymorph in this dataset: 0.000 eV per atom
crystal system: orthorhombic
formation energy from raw total energies: -505.2 meV/atom

Unit cell a=3.915 b=11.921 c=11.921 alpha=149.20 beta=90.00 gamma=90.00
Sites, in units of the cell vectors:
Ga 0.250 0.123 0.877
Ga 0.750 0.877 0.123
Bi 0.250 0.385 0.724
Bi 0.750 0.724 0.385
S 0.250 0.055 0.628
S 0.250 0.453 0.245
S 0.250 0.764 0.926
S 0.750 0.245 0.453
S 0.750 0.628 0.055
S 0.750 0.926 0.764

---

Entry from the Alexandria database: a relaxed structure of GaBiS3 (PBE-GGA).

## Properties
SG: Amm2
energy above the most stable polymorph in this dataset: 0.298 eV per atom
crystal system: orthorhombic
formation energy from raw total energies: -207.0 meV/atom

Unit cell a=3.658 b=5.987 c=5.987 alpha=92.57 beta=90.00 gamma=90.00
Sites, in units of the cell vectors:
Ga 0.000 0.000 0.000
Bi 0.500 0.516 0.516
S 0.000 0.302 0.302
S 0.500 0.126 0.771
S 0.500 0.771 0.126

---

no.,theoretical density (Mg/m³),total moment (μB per formula unit),calculated volume (A^3/atom)
1,4.4,0.00,28.49
2,4.8,0.00,26.20